[1]
The following is a PBE calculation of crystalline Mg7Tl at its relaxed geometry, from Alexandria via LeMat-Bulk.

a b c (Å): 9.718 9.718 9.718
angles (deg): 153.24 153.24 38.21
Atoms (fractional coordinates):
Mg  0.000  0.000  0.000
Mg  0.125  0.625  0.500
Mg  0.249  0.249  0.000
Mg  0.375  0.875  0.500
Mg  0.625  0.125  0.500
Mg  0.751  0.751  0.000
Mg  0.875  0.375  0.500
Tl  0.500  0.500  0.000

Calculated values
**E_form**: -0.13 eV per formula unit
**Energy above the most stable polymorph in this dataset**: 0.000 eV/atom
**VASP energy**: -1.707 eV per atom

---

[2]
The following is a PBE calculation of crystalline ScTlHg2 at its relaxed geometry, from Alexandria via LeMat-Bulk.

a b c (Å): 5.162 5.162 3.712
angles (deg): 90.00 90.00 102.84
Atoms (fractional coordinates):
Sc  0.000  0.000  0.000
Tl  0.500  0.500  0.000
Hg  0.000  0.500  0.500
Hg  0.500  0.000  0.500

Calculated values
**E_form**: -0.58 eV per formula unit
**VASP energy**: -2.470 eV per atom

---

[3]
The following is a PBE calculation of crystalline TaAs2P at its relaxed geometry, from Alexandria via LeMat-Bulk.

a b c (Å): 2.854 2.854 9.379
angles (deg): 90.00 90.00 103.06
Atoms (fractional coordinates):
Ta  0.000  0.000  0.000
As  0.500  0.500  0.219
As  0.500  0.500  0.781
P  0.000  0.000  0.500

Calculated values
**E_form**: 1.30 eV per formula unit
**VASP energy**: -6.316 eV per atom

---

[4]
The following is a PBE calculation of crystalline TmIn5Cl8 at its relaxed geometry, from Alexandria via LeMat-Bulk.

a b c (Å): 8.140 8.140 8.140
angles (deg): 111.32 111.32 105.83
Atoms (fractional coordinates):
Tm  0.000  0.000  0.000
In  0.145  0.478  0.879
In  0.250  0.750  0.500
In  0.522  0.401  0.667
In  0.599  0.266  0.121
In  0.734  0.855  0.333
Cl  0.181  0.071  0.770
Cl  0.301  0.411  0.230
Cl  0.351  0.006  0.199
Cl  0.589  0.819  0.890
Cl  0.806  0.152  0.801
Cl  0.848  0.649  0.654
Cl  0.929  0.699  0.110
Cl  0.994  0.194  0.346

Calculated values
**VASP energy**: -3.553 eV per atom
**Energy relative to the elements, uncorrected**: -1622 kJ/mol of formula units

---

[5]
The following is a PBE calculation of crystalline MgNp2Ni9 at its relaxed geometry, from Alexandria via LeMat-Bulk.

a b c (Å): 4.836 4.836 16.245
angles (deg): 90.00 90.00 120.00
Atoms (fractional coordinates):
Mg  0.333  0.667  0.250
Mg  0.667  0.333  0.750
Np  0.333  0.667  0.037
Np  0.333  0.667  0.463
Np  0.667  0.333  0.537
Np  0.667  0.333  0.963
Ni  0.000  0.000  0.000
Ni  0.000  0.000  0.250
Ni  0.000  0.000  0.500
Ni  0.000  0.000  0.750
Ni  0.167  0.333  0.627
Ni  0.167  0.333  0.873
Ni  0.167  0.833  0.627
Ni  0.167  0.833  0.873
Ni  0.333  0.167  0.127
Ni  0.333  0.167  0.373
Ni  0.333  0.667  0.750
Ni  0.667  0.333  0.250
Ni  0.667  0.833  0.627
Ni  0.667  0.833  0.873
Ni  0.833  0.167  0.127
Ni  0.833  0.167  0.373
Ni  0.833  0.667  0.127
Ni  0.833  0.667  0.373

Calculated values
**E_form**: -1.45 eV per formula unit
**VASP energy**: -6.747 eV per atom

---

[6]
The following is a PBE calculation of crystalline TbPr2Ag2 at its relaxed geometry, from Alexandria via LeMat-Bulk.

a b c (Å): 7.777 7.777 7.777
angles (deg): 119.59 80.45 132.23
Atoms (fractional coordinates):
Tb  0.250  0.250  0.000
Tb  0.750  0.750  0.000
Pr  0.208  0.651  0.859
Pr  0.292  0.151  0.443
Pr  0.708  0.849  0.557
Pr  0.792  0.349  0.141
Ag  0.056  0.331  0.387
Ag  0.444  0.831  0.276
Ag  0.556  0.169  0.724
Ag  0.944  0.669  0.613

Calculated values
**E_form**: -0.21 eV per formula unit
**Energy above the most stable polymorph in this dataset**: 0.097 eV/atom
**VASP energy**: -4.021 eV per atom

---

[7]
The following is a PBE calculation of crystalline LiMg4Pd2 at its relaxed geometry, from Alexandria via LeMat-Bulk.

a b c (Å): 7.690 7.690 7.690
angles (deg): 34.57 34.57 34.57
Atoms (fractional coordinates):
Li  0.000  0.000  0.000
Mg  0.131  0.131  0.131
Mg  0.385  0.385  0.385
Mg  0.615  0.615  0.615
Mg  0.869  0.869  0.869
Pd  0.257  0.257  0.257
Pd  0.743  0.743  0.743

Calculated values
**E_form**: -3.30 eV per formula unit
**Energy above the most stable polymorph in this dataset**: 0.000 eV/atom
**VASP energy**: -3.140 eV per atom

---

[8]
The following is a PBE calculation of crystalline Sm5Cu4Ru at its relaxed geometry, from Alexandria via LeMat-Bulk.

a b c (Å): 3.511 3.511 17.904
angles (deg): 90.00 90.00 90.00
Atoms (fractional coordinates):
Sm  0.000  0.000  0.000
Sm  0.000  0.000  0.201
Sm  0.000  0.000  0.405
Sm  0.000  0.000  0.595
Sm  0.000  0.000  0.799
Cu  0.500  0.500  0.100
Cu  0.500  0.500  0.300
Cu  0.500  0.500  0.700
Cu  0.500  0.500  0.900
Ru  0.500  0.500  0.500

Calculated values
**E_form**: -1.98 eV per formula unit
**VASP energy**: -5.124 eV per atom